Computed, not measured: a relaxed structure of Hf2PdRh2 at the PBE level of DFT.

As for the space group: I4/mmm (139). As for the polymorph energy (0 for the lowest one): 392 meV per atom. The final energy comes out at -8.336 eV/atom. Its spin magnetization is 0.0 μB per cell. For the energy of formation from the pure elements, the calculation gives -375.1 meV/atom.

abc: 3.7101 3.7101 13.7987
angles: 90.00 90.00 90.00
With the nearest neighbours (Å) after each atom.
Fractional positions:
Hf: 0.0000 0.0000 0.1116  4 Rh 2.66
Hf: 0.0000 0.0000 0.8884  4 Rh 2.66
Hf: 0.5000 0.5000 0.3884  4 Rh 2.66
Hf: 0.5000 0.5000 0.6116  4 Rh 2.66
Pd: 0.0000 0.0000 0.5000  8 Hf 3.04
Pd: 0.5000 0.5000 0.0000  8 Hf 3.04
Rh: 0.0000 0.5000 0.2500  4 Rh 2.62, 4 Hf 2.66
Rh: 0.0000 0.5000 0.7500  4 Rh 2.62, 4 Hf 2.66
Rh: 0.5000 0.0000 0.2500  4 Rh 2.62, 4 Hf 2.66
Rh: 0.5000 0.0000 0.7500  4 Rh 2.62, 4 Hf 2.66

Computed, not measured: a relaxed structure of HfPdRh3 at the PBE level of DFT.

As for the space group: Cmcm (63). As for the polymorph energy (0 for the lowest one): 0 meV per atom. The final energy comes out at -7.506 eV/atom. Its spin magnetization is 0.0 μB per cell. For the energy of formation from the pure elements, the calculation gives -65.7 meV/atom.

abc: 5.7849 5.7849 5.3997
angles: 90.00 90.00 104.46
With the nearest neighbours (Å) after each atom.
Fractional positions:
Hf: 0.2269 0.7731 0.7500  4 Rh 2.56-2.71, 2 Pd 2.84
Hf: 0.7731 0.2269 0.2500  4 Rh 2.56-2.71, 2 Pd 2.84
Pd: 0.5000 0.5000 0.0000  6 Rh 2.60-2.65, 2 Pd 2.70, 2 Hf 2.84
Pd: 0.5000 0.5000 0.5000  6 Rh 2.60-2.65, 2 Pd 2.70, 2 Hf 2.84
Rh: 0.1737 0.1997 0.7500  4 Rh 2.55-2.71, 1 Hf 2.56, 2 Pd 2.60
Rh: 0.1997 0.1737 0.2500  4 Rh 2.55-2.71, 1 Hf 2.56, 2 Pd 2.60
Rh: 0.2512 0.7488 0.2500  2 Rh 2.55, 2 Pd 2.65, 2 Hf 2.71
Rh: 0.7488 0.2512 0.7500  2 Rh 2.55, 2 Pd 2.65, 2 Hf 2.71
Rh: 0.8003 0.8263 0.7500  4 Rh 2.55-2.71, 1 Hf 2.56, 2 Pd 2.60
Rh: 0.8263 0.8003 0.2500  4 Rh 2.55-2.71, 1 Hf 2.56, 2 Pd 2.60

Computed, not measured: a relaxed structure of Hf6PdRh3 at the PBE level of DFT.

As for the space group: P2_1/c (14). The final energy comes out at -9.131 eV/atom. Its spin magnetization is 0.0 μB per cell. For the energy of formation from the pure elements, the calculation gives -433.9 meV/atom.

abc: 7.3787 6.3834 11.1570
angles: 90.00 131.14 90.00
With the nearest neighbours (Å) after each atom.
Fractional positions:
Hf: 0.0310 0.1288 0.2508  2 Rh 2.69-2.71
Hf: 0.0310 0.3712 0.7508  2 Rh 2.69-2.71
Hf: 0.2165 0.1398 0.0575  3 Rh 2.63-2.90, 1 Pd 2.71
Hf: 0.2165 0.3602 0.5575  3 Rh 2.63-2.90, 1 Pd 2.71
Hf: 0.3840 0.6491 0.0713  2 Rh 2.57-2.61, 1 Pd 2.70
Hf: 0.3840 0.8509 0.5713  2 Rh 2.57-2.61, 1 Pd 2.70
Hf: 0.6160 0.1491 0.4287  2 Rh 2.57-2.61, 1 Pd 2.70
Hf: 0.6160 0.3509 0.9287  2 Rh 2.57-2.61, 1 Pd 2.70
Hf: 0.7835 0.6398 0.4425  3 Rh 2.63-2.90, 1 Pd 2.71
Hf: 0.7835 0.8602 0.9425  3 Rh 2.63-2.90, 1 Pd 2.71
Hf: 0.9690 0.6288 0.2492  2 Rh 2.69-2.71
Hf: 0.9690 0.8712 0.7492  2 Rh 2.69-2.71
Pd: 0.5000 0.0000 0.0000  4 Hf 2.70-2.71, 2 Rh 2.84
Pd: 0.5000 0.5000 0.5000  4 Hf 2.70-2.71, 2 Rh 2.84
Rh: 0.0000 0.0000 0.5000  4 Hf 2.57-2.63
Rh: 0.0000 0.5000 0.0000  4 Hf 2.57-2.63
Rh: 0.3190 0.6650 0.7801  5 Hf 2.61-2.90, 1 Pd 2.84
Rh: 0.3190 0.8350 0.2801  5 Hf 2.61-2.90, 1 Pd 2.84
Rh: 0.6810 0.1650 0.7199  5 Hf 2.61-2.90, 1 Pd 2.84
Rh: 0.6810 0.3350 0.2199  5 Hf 2.61-2.90, 1 Pd 2.84

Computed, not measured: a relaxed structure of Hf12PdRh6 at the PBE level of DFT.

As for the space group: R-3 (148). The final energy comes out at -9.198 eV/atom. Its spin magnetization is 0.0 μB per cell. For the energy of formation from the pure elements, the calculation gives -316.6 meV/atom.

abc: 7.6913 7.6913 7.6913
angles: 100.16 100.16 100.16
With the nearest neighbours (Å) after each atom.
Fractional positions:
Hf: 0.0646 0.9314 0.3263  3 Rh 2.61-2.91, 1 Pd 2.64
Hf: 0.0686 0.6736 0.9354  3 Rh 2.61-2.91, 1 Pd 2.64
Hf: 0.1760 0.4308 0.5830  4 Rh 2.64-2.77
Hf: 0.3263 0.0646 0.9314  3 Rh 2.61-2.91, 1 Pd 2.64
Hf: 0.4170 0.8240 0.5692  4 Rh 2.64-2.77
Hf: 0.4308 0.5830 0.1760  4 Rh 2.64-2.77
Hf: 0.5692 0.4170 0.8240  4 Rh 2.64-2.77
Hf: 0.5830 0.1760 0.4308  4 Rh 2.64-2.77
Hf: 0.6737 0.9354 0.0686  3 Rh 2.61-2.91, 1 Pd 2.64
Hf: 0.8240 0.5692 0.4170  4 Rh 2.64-2.77
Hf: 0.9314 0.3263 0.0646  3 Rh 2.61-2.91, 1 Pd 2.64
Hf: 0.9354 0.0686 0.6737  3 Rh 2.61-2.91, 1 Pd 2.64
Pd: 0.0000 0.0000 0.0000  6 Hf 2.64
Rh: 0.1366 0.6097 0.3013  7 Hf 2.61-2.91
Rh: 0.3013 0.1366 0.6097  7 Hf 2.61-2.91
Rh: 0.3903 0.6987 0.8634  7 Hf 2.61-2.91
Rh: 0.6097 0.3013 0.1366  7 Hf 2.61-2.91
Rh: 0.6987 0.8634 0.3903  7 Hf 2.61-2.91
Rh: 0.8634 0.3903 0.6987  7 Hf 2.61-2.91

Computed, not measured: a relaxed structure of Hf2PdRh2 at the PBE level of DFT.

As for the space group: P4/mbm (127). As for the polymorph energy (0 for the lowest one): 130 meV per atom. The final energy comes out at -8.598 eV/atom. Its spin magnetization is 0.0 μB per cell. For the energy of formation from the pure elements, the calculation gives -637.3 meV/atom.

abc: 7.5767 7.5767 3.1184
angles: 90.00 90.00 90.00
With the nearest neighbours (Å) after each atom.
Fractional positions:
Hf: 0.1572 0.3428 0.0000  6 Rh 2.68-2.74, 2 Pd 2.86
Hf: 0.3428 0.8428 0.0000  6 Rh 2.68-2.74, 2 Pd 2.86
Hf: 0.6572 0.1572 0.0000  6 Rh 2.68-2.74, 2 Pd 2.86
Hf: 0.8428 0.6572 0.0000  6 Rh 2.68-2.74, 2 Pd 2.86
Pd: 0.0000 0.0000 0.0000  4 Hf 2.86, 2 Pd 3.12
Pd: 0.5000 0.5000 0.0000  4 Hf 2.86, 2 Pd 3.12
Rh: 0.1399 0.6399 0.5000  6 Hf 2.68-2.74
Rh: 0.3601 0.1399 0.5000  6 Hf 2.68-2.74
Rh: 0.6399 0.8601 0.5000  6 Hf 2.68-2.74
Rh: 0.8601 0.3601 0.5000  6 Hf 2.68-2.74

Computed, not measured: a relaxed structure of HfPdRh2 at the PBE level of DFT.

As for the space group: Fm-3m (225). The final energy comes out at -8.026 eV/atom. Its spin magnetization is 0.0 μB per cell. For the energy of formation from the pure elements, the calculation gives -563.3 meV/atom.

abc: 6.3449 6.3449 6.3449
angles: 90.00 90.00 90.00
With the nearest neighbours (Å) after each atom.
Fractional positions:
Hf: 0.0000 0.0000 0.0000  8 Rh 2.75
Hf: 0.0000 0.5000 0.5000  8 Rh 2.75
Hf: 0.5000 0.0000 0.5000  8 Rh 2.75
Hf: 0.5000 0.5000 0.0000  8 Rh 2.75
Pd: 0.0000 0.0000 0.5000  8 Rh 2.75
Pd: 0.0000 0.5000 0.0000  8 Rh 2.75
Pd: 0.5000 0.0000 0.0000  8 Rh 2.75
Pd: 0.5000 0.5000 0.5000  8 Rh 2.75
Rh: 0.2500 0.2500 0.2500  4 Hf 2.75, 4 Pd 2.75
Rh: 0.2500 0.2500 0.7500  4 Hf 2.75, 4 Pd 2.75
Rh: 0.2500 0.7500 0.2500  4 Hf 2.75, 4 Pd 2.75
Rh: 0.2500 0.7500 0.7500  4 Hf 2.75, 4 Pd 2.75
Rh: 0.7500 0.2500 0.2500  4 Hf 2.75, 4 Pd 2.75
Rh: 0.7500 0.2500 0.7500  4 Hf 2.75, 4 Pd 2.75
Rh: 0.7500 0.7500 0.2500  4 Hf 2.75, 4 Pd 2.75
Rh: 0.7500 0.7500 0.7500  4 Hf 2.75, 4 Pd 2.75

Computed, not measured: a relaxed structure of Hf2Pd5Rh at the PBE level of DFT.

As for the space group: Pbam (55). The final energy comes out at -7.518 eV/atom. Its spin magnetization is 0.0 μB per cell. For the energy of formation from the pure elements, the calculation gives -865.2 meV/atom.

abc: 5.6671 11.3346 3.9801
angles: 90.00 90.00 90.00
With the nearest neighbours (Å) after each atom.
Fractional positions:
Hf: 0.2368 0.1205 0.0000  2 Rh 2.76, 10 Pd 2.80-2.87
Hf: 0.2632 0.6205 0.0000  2 Rh 2.76, 10 Pd 2.80-2.87
Hf: 0.7368 0.3795 0.0000  2 Rh 2.76, 10 Pd 2.80-2.87
Hf: 0.7632 0.8795 0.0000  2 Rh 2.76, 10 Pd 2.80-2.87
Pd: 0.0000 0.5000 0.5000  6 Pd 2.81-2.83, 2 Rh 2.83, 4 Hf 2.84
Pd: 0.0099 0.7495 0.5000  7 Pd 2.81-2.83, 1 Rh 2.84, 4 Hf 2.84-2.86
Pd: 0.2436 0.3736 0.0000  4 Hf 2.80-2.87, 6 Pd 2.81-2.82, 2 Rh 2.85
Pd: 0.2564 0.8736 0.0000  4 Hf 2.80-2.87, 6 Pd 2.81-2.82, 2 Rh 2.85
Pd: 0.4901 0.2495 0.5000  7 Pd 2.81-2.83, 1 Rh 2.84, 4 Hf 2.84-2.86
Pd: 0.5000 0.0000 0.5000  6 Pd 2.81-2.83, 2 Rh 2.83, 4 Hf 2.84
Pd: 0.5099 0.7505 0.5000  7 Pd 2.81-2.83, 1 Rh 2.84, 4 Hf 2.84-2.86
Pd: 0.7436 0.1264 0.0000  4 Hf 2.80-2.87, 6 Pd 2.81-2.82, 2 Rh 2.85
Pd: 0.7564 0.6264 0.0000  4 Hf 2.80-2.87, 6 Pd 2.81-2.82, 2 Rh 2.85
Pd: 0.9901 0.2505 0.5000  7 Pd 2.81-2.83, 1 Rh 2.84, 4 Hf 2.84-2.86
Rh: 0.0000 0.0000 0.5000  4 Hf 2.76, 8 Pd 2.83-2.85
Rh: 0.5000 0.5000 0.5000  4 Hf 2.76, 8 Pd 2.83-2.85

Computed, not measured: a relaxed structure of Hf6PdRh2 at the PBE level of DFT.

As for the space group: P2_1/c (14). The final energy comes out at -9.262 eV/atom. Its spin magnetization is 0.0 μB per cell. For the energy of formation from the pure elements, the calculation gives -415.5 meV/atom.

abc: 5.6073 7.2480 10.4367
angles: 90.00 121.47 90.00
With the nearest neighbours (Å) after each atom.
Fractional positions:
Hf: 0.0564 0.0738 0.2385  1 Pd 2.61, 2 Rh 2.69-2.90
Hf: 0.0564 0.4262 0.7385  1 Pd 2.61, 2 Rh 2.69-2.90
Hf: 0.2240 0.7396 0.0773  2 Rh 2.69, 1 Pd 2.71
Hf: 0.2240 0.7604 0.5773  2 Rh 2.69, 1 Pd 2.71
Hf: 0.3768 0.1425 0.0445  2 Rh 2.71-2.82, 1 Pd 2.78, 1 Hf 2.89
Hf: 0.3768 0.3575 0.5445  2 Rh 2.71-2.82, 1 Pd 2.78, 1 Hf 2.89
Hf: 0.6232 0.6425 0.4555  2 Rh 2.71-2.82, 1 Pd 2.78, 1 Hf 2.89
Hf: 0.6232 0.8575 0.9555  2 Rh 2.71-2.82, 1 Pd 2.78, 1 Hf 2.89
Hf: 0.7760 0.2396 0.4227  2 Rh 2.69, 1 Pd 2.71
Hf: 0.7760 0.2604 0.9227  2 Rh 2.69, 1 Pd 2.71
Hf: 0.9436 0.5738 0.2615  1 Pd 2.61, 2 Rh 2.69-2.90
Hf: 0.9436 0.9262 0.7615  1 Pd 2.61, 2 Rh 2.69-2.90
Pd: 0.5000 0.0000 0.5000  6 Hf 2.61-2.78
Pd: 0.5000 0.5000 0.0000  6 Hf 2.61-2.78
Rh: 0.3097 0.0934 0.7070  6 Hf 2.69-2.90, 1 Pd 2.94
Rh: 0.3097 0.4066 0.2070  6 Hf 2.69-2.90, 1 Pd 2.94
Rh: 0.6903 0.5934 0.7930  6 Hf 2.69-2.90, 1 Pd 2.94
Rh: 0.6903 0.9066 0.2930  6 Hf 2.69-2.90, 1 Pd 2.94

Computed, not measured: a relaxed structure of Hf6Pd8Rh at the PBE level of DFT.

As for the space group: R-3 (148). The final energy comes out at -7.773 eV/atom. Its spin magnetization is 0.0 μB per cell. For the energy of formation from the pure elements, the calculation gives -532.2 meV/atom.

abc: 7.3931 7.3931 7.3931
angles: 60.20 60.20 60.20
With the nearest neighbours (Å) after each atom.
Fractional positions:
Hf: 0.1286 0.8099 0.3869  5 Pd 2.58-2.81, 1 Rh 2.76
Hf: 0.1901 0.6131 0.8714  5 Pd 2.58-2.81, 1 Rh 2.76
Hf: 0.3869 0.1286 0.8099  5 Pd 2.58-2.81, 1 Rh 2.76
Hf: 0.6131 0.8714 0.1901  5 Pd 2.58-2.81, 1 Rh 2.76
Hf: 0.8099 0.3869 0.1286  5 Pd 2.58-2.81, 1 Rh 2.76
Hf: 0.8714 0.1901 0.6131  5 Pd 2.58-2.81, 1 Rh 2.76
Pd: 0.0380 0.3967 0.6990  3 Hf 2.58-2.81, 2 Pd 2.76-2.79
Pd: 0.2083 0.2083 0.2083  6 Hf 2.78-2.80, 3 Pd 2.79
Pd: 0.3010 0.9620 0.6033  3 Hf 2.58-2.81, 2 Pd 2.76-2.79
Pd: 0.3967 0.6990 0.0380  3 Hf 2.58-2.81, 2 Pd 2.76-2.79
Pd: 0.6033 0.3010 0.9620  3 Hf 2.58-2.81, 2 Pd 2.76-2.79
Pd: 0.6990 0.0380 0.3967  3 Hf 2.58-2.81, 2 Pd 2.76-2.79
Pd: 0.7917 0.7917 0.7917  6 Hf 2.78-2.80, 3 Pd 2.79
Pd: 0.9620 0.6033 0.3010  3 Hf 2.58-2.81, 2 Pd 2.76-2.79
Rh: 0.5000 0.5000 0.5000  6 Hf 2.76